Record 1
Entry from Alexandria: a geometry-optimized ZrNiSb2 structure (PBE).

Properties
- total moment (μB per formula unit) = 0.000
- energy relative to the elements, uncorrected (eV/f.u.) = -0.5
- energy (eV per atom) = -5.76

The structure in CIF format:
```
data_ZrNiSb2
_chemical_formula_sum 'Zr1 Ni1 Sb2'
_space_group_name_H-M_alt 'P 1'
_space_group_IT_number 1
_cell_length_a 4.056
_cell_length_b 4.056
_cell_length_c 6.546
_cell_angle_alpha 104.43
_cell_angle_beta 104.43
_cell_angle_gamma 57.32
loop_
_space_group_symop_operation_xyz
'x,y,z'
loop_
_atom_site_label
_atom_site_type_symbol
_atom_site_fract_x
_atom_site_fract_y
_atom_site_fract_z
Zr1 Zr 0.000 0.000 0.000
Ni1 Ni 0.500 0.500 0.500
Sb1 Sb 0.241 0.241 0.708
Sb2 Sb 0.759 0.759 0.292
```

---

Record 2
Entry from Alexandria: a geometry-optimized ZrNiSb2 structure (PBE).

Properties
- total moment (μB per formula unit) = 0.000
- energy relative to the elements, uncorrected (eV/f.u.) = -0.5
- energy (eV per atom) = -5.76

The structure in CIF format:
```
data_ZrNiSb2
_chemical_formula_sum 'Zr1 Ni1 Sb2'
_space_group_name_H-M_alt 'P 1'
_space_group_IT_number 1
_cell_length_a 8.814
_cell_length_b 8.814
_cell_length_c 8.814
_cell_angle_alpha 21.75
_cell_angle_beta 21.75
_cell_angle_gamma 21.75
loop_
_space_group_symop_operation_xyz
'x,y,z'
loop_
_atom_site_label
_atom_site_type_symbol
_atom_site_fract_x
_atom_site_fract_y
_atom_site_fract_z
Zr1 Zr 0.000 0.000 0.000
Ni1 Ni 0.500 0.500 0.500
Sb1 Sb 0.237 0.237 0.237
Sb2 Sb 0.763 0.763 0.763
```